DFT (PBE with a Hubbard U) results for a relaxed structure of CrSO2.

**Calculated total energy**: -5.51 eV per atom
**DOS(E_F)**: 2.12 states/eV/f.u.

Cell lengths 5.667, 5.667, 5.667 Å; angles 60.00, 60.00, 60.00 degrees
Atoms (fractional coordinates):
Cr1 0.125 0.125 0.125
Cr2 0.875 0.875 0.875
S1 0.375 0.375 0.375
S2 0.625 0.625 0.625
O1 0.000 0.000 0.000
O2 0.000 0.000 0.500
O3 0.000 0.500 0.000
O4 0.500 0.000 0.000